# 1
The following is a DFT calculation (PBE-GGA) of AcPmZnAg after structural relaxation.

```
AcPmZnAg
1.0
5.416 0.000 0.000
2.708 4.690 0.000
2.708 1.563 4.422
Ac Zn Ag Pm
1 1 1 1
Direct
0.000 0.000 0.000
0.750 0.750 0.750
0.250 0.250 0.250
0.500 0.500 0.500
```

Symmetry: F-43m, No. 216
Final energy, eV for the cell shown: -13.9
E_form, eV per atom: -0.24
Energy above the most stable polymorph in this dataset, meV per atom: 27.7

***

# 2
The following is a DFT calculation (PBE-GGA) of Ac3Pr2Ag2 after structural relaxation.

```
Ac3Pr2Ag2
1.0
-0.809 -2.677 -2.709
0.939 -2.815 2.500
-15.962 -1.903 3.850
Ac Pr Ag
3 2 2
Direct
0.877 0.000 0.245
0.000 0.000 0.000
0.123 0.000 0.755
0.705 0.500 0.590
0.295 0.500 0.410
0.561 0.500 0.877
0.439 0.500 0.123
```

Symmetry: Cmmm, No. 65
Final energy, eV for the cell shown: -28.0
E_form, eV per atom: -0.06

***

# 3
The following is a DFT calculation (PBE-GGA) of AcPr2Ag3 after structural relaxation.

```
AcPr2Ag3
1.0
-0.896 -3.447 -1.442
-0.944 -1.225 3.517
-10.857 3.529 -1.686
Ac Pr Ag
1 2 3
Direct
0.500 0.500 0.500
0.500 0.500 0.838
0.500 0.500 0.162
0.000 0.000 0.000
0.000 0.000 0.682
0.000 0.000 0.318
```

Symmetry: P4/mmm, No. 123
Final energy, eV for the cell shown: -23.7
E_form, eV per atom: -0.25

***

# 4
The following is a DFT calculation (PBE-GGA) of AcPr2Ag after structural relaxation.

```
AcPr2Ag
1.0
3.857 0.000 0.000
1.928 3.340 0.000
1.928 1.113 10.895
Ac Pr Ag
1 2 1
Direct
0.500 0.500 0.501
0.070 0.070 0.791
0.264 0.264 0.209
0.667 0.667 0.000
```

Symmetry: R3m, No. 160
Final energy, eV for the cell shown: -16.4
E_form, eV per atom: 0.03
Energy above the most stable polymorph in this dataset, meV per atom: 128.4